UPbS4 | Alexandria | PBE | optimized geometry; theoretical density = 6701 kg/m3; symmetry = Pbam (55); total moment = 1.21 Bohr magnetons per cell; polymorph energy (0 for the lowest one) = 5.33 kcal/mol of atoms; raw formation energy = -0.650 eV per atom
1.0
6.0396 0.0000 0.0000
0.0000 6.3441 0.0000
0.0000 0.0000 7.4183
U Pb S
2 2 8
direct
0.0000 0.0000 0.0000 U
0.5000 0.5000 0.0000 U
0.0000 0.0000 0.5000 Pb
0.5000 0.5000 0.5000 Pb
0.2012 0.2864 0.2117 S
0.2012 0.2864 0.7883 S
0.2988 0.7864 0.2117 S
0.2988 0.7864 0.7883 S
0.7012 0.2136 0.2117 S
0.7012 0.2136 0.7883 S
0.7988 0.7136 0.2117 S
0.7988 0.7136 0.7883 S